The following is a DFT calculation (PBE) of a geometry-optimized PmPr12Tm3 structure.

```
PmPr12Tm3
1.0
5.186 0.000 0.000
0.000 5.186 0.000
0.000 0.000 20.706
Pr Tm Pm
12 3 1
Cartesian
2.593 2.593 15.491 Pr
2.593 0.000 18.076 Pr
2.593 0.000 2.630 Pr
2.593 2.593 10.353 Pr
2.593 2.593 0.000 Pr
0.000 2.593 2.630 Pr
2.593 2.593 5.215 Pr
0.000 2.593 18.076 Pr
0.000 2.593 7.780 Pr
2.593 0.000 12.926 Pr
2.593 0.000 7.780 Pr
0.000 2.593 12.926 Pr
0.000 0.000 15.497 Tm
0.000 0.000 5.209 Tm
0.000 0.000 10.353 Tm
0.000 0.000 0.000 Pm
```

## Properties
- Uncorrected energy: -4.707 eV/atom
- SG: P4/mmm
- ρ: 6.99 Mg/m³
- Total moment: 0.00 μB/cell